Record 1
# RbRh3F (PBE, optimized geometry)
# ΔE_f (raw)	0.9048	eV/atom
# DFT total energy	-4.0738	eV per atom
# density of states at the Fermi level	1.38	states/eV/atom
# relative energy among the computed polymorphs	0	meV per atom
data_RbRh3F
_chemical_formula_sum 'Rb1 Rh3 F1'
_space_group_name_H-M_alt 'P m -3 m'
_space_group_IT_number 221
_space_group_name_Hall '-P 4 2 3'
_cell_length_a 4.6060
_cell_length_b 4.6060
_cell_length_c 4.6060
_cell_angle_alpha 90.00
_cell_angle_beta 90.00
_cell_angle_gamma 90.00
loop_
_atom_site_label
_atom_site_type_symbol
_atom_site_fract_x
_atom_site_fract_y
_atom_site_fract_z
Rb1 Rb 0.0000 0.0000 0.0000
Rh1 Rh 0.0000 0.5000 0.5000
F1 F 0.5000 0.5000 0.5000

Record 2
# RbRh3F (PBE, optimized geometry)
# ΔE_f (raw)	2.2156	eV/atom
# DFT total energy	-2.7631	eV per atom
# density of states at the Fermi level	1.63	states/eV/atom
# relative energy among the computed polymorphs	1311	meV per atom
data_RbRh3F
_chemical_formula_sum 'Rb1 Rh3 F1'
_space_group_name_H-M_alt 'P m -3 m'
_space_group_IT_number 221
_space_group_name_Hall '-P 4 2 3'
_cell_length_a 5.0974
_cell_length_b 5.0974
_cell_length_c 5.0974
_cell_angle_alpha 90.00
_cell_angle_beta 90.00
_cell_angle_gamma 90.00
loop_
_atom_site_label
_atom_site_type_symbol
_atom_site_fract_x
_atom_site_fract_y
_atom_site_fract_z
Rb1 Rb 0.0000 0.0000 0.0000
Rh1 Rh 0.0000 0.0000 0.5000
F1 F 0.5000 0.5000 0.5000

Record 3
# RbRhF4 (PBE, optimized geometry)
# ΔE_f (raw)	-1.9888	eV/atom
# DFT total energy	-4.6229	eV per atom
# density of states at the Fermi level	0.02	states/eV/atom
data_RbRhF4
_chemical_formula_sum 'Rb2 Rh2 F8'
_space_group_name_H-M_alt 'P 4/m b m'
_space_group_IT_number 127
_space_group_name_Hall '-P 4 2ab'
_cell_length_a 5.4241
_cell_length_b 5.4241
_cell_length_c 6.6788
_cell_angle_alpha 90.00
_cell_angle_beta 90.00
_cell_angle_gamma 90.00
loop_
_atom_site_label
_atom_site_type_symbol
_atom_site_fract_x
_atom_site_fract_y
_atom_site_fract_z
Rb1 Rb 0.0000 0.5000 0.0000
Rh1 Rh 0.0000 0.0000 0.5000
F1 F 0.0000 0.0000 0.2004
F2 F 0.1668 0.3332 0.5000

Record 4
# RbRh2F (PBE, optimized geometry)
# ΔE_f (raw)	0.9354	eV/atom
# DFT total energy	-3.4500	eV per atom
# density of states at the Fermi level	2.89	states/eV/atom
# relative energy among the computed polymorphs	720	meV per atom
data_RbRh2F
_chemical_formula_sum 'Rb4 Rh8 F4'
_space_group_name_H-M_alt 'F m -3 m'
_space_group_IT_number 225
_space_group_name_Hall '-F 4 2 3'
_cell_length_a 6.6641
_cell_length_b 6.6641
_cell_length_c 6.6641
_cell_angle_alpha 90.00
_cell_angle_beta 90.00
_cell_angle_gamma 90.00
loop_
_atom_site_label
_atom_site_type_symbol
_atom_site_fract_x
_atom_site_fract_y
_atom_site_fract_z
Rb1 Rb 0.0000 0.0000 0.0000
Rh1 Rh 0.2500 0.2500 0.2500
F1 F 0.0000 0.0000 0.5000

Record 5
# RbRh2F11 (PBE, optimized geometry)
# ΔE_f (raw)	-1.6271	eV/atom
# DFT total energy	-4.2168	eV per atom
# density of states at the Fermi level	0.67	states/eV/atom
data_RbRh2F11
_chemical_formula_sum 'Rb4 Rh8 F44'
_space_group_name_H-M_alt 'I b a m'
_space_group_IT_number 72
_space_group_name_Hall '-I 2 2c'
_cell_length_a 9.3221
_cell_length_b 9.9257
_cell_length_c 11.2357
_cell_angle_alpha 90.00
_cell_angle_beta 90.00
_cell_angle_gamma 90.00
loop_
_atom_site_label
_atom_site_type_symbol
_atom_site_fract_x
_atom_site_fract_y
_atom_site_fract_z
Rb1 Rb 0.0000 0.0000 0.2500
Rh1 Rh 0.1272 0.3373 0.0000
F1 F 0.0000 0.5000 0.0000
F2 F 0.0120 0.2581 0.1195
F3 F 0.2418 0.1827 0.0000
F4 F 0.2428 0.4179 0.1191

Record 6
# RbRh2F6 (PBE, optimized geometry)
# ΔE_f (raw)	-1.6759	eV/atom
# DFT total energy	-4.6646	eV per atom
# density of states at the Fermi level	0.60	states/eV/atom
data_RbRh2F6
_chemical_formula_sum 'Rb1 Rh2 F6'
_space_group_name_H-M_alt 'P -3 1 m'
_space_group_IT_number 162
_space_group_name_Hall '-P 3 2'
_cell_length_a 5.6436
_cell_length_b 5.6436
_cell_length_c 5.9732
_cell_angle_alpha 90.00
_cell_angle_beta 90.00
_cell_angle_gamma 120.00
loop_
_atom_site_label
_atom_site_type_symbol
_atom_site_fract_x
_atom_site_fract_y
_atom_site_fract_z
Rb1 Rb 0.0000 0.0000 0.0000
Rh1 Rh 0.3333 0.6667 0.5000
F1 F 0.0000 0.3630 0.6771

Record 7
# Rb3RhF8 (PBE, optimized geometry)
# ΔE_f (raw)	-2.0327	eV/atom
# DFT total energy	-4.1348	eV per atom
# density of states at the Fermi level	0.00	states/eV/atom
# relative energy among the computed polymorphs	17	meV per atom
data_Rb3RhF8
_chemical_formula_sum 'Rb3 Rh1 F8'
_space_group_name_H-M_alt 'P m -3 m'
_space_group_IT_number 221
_space_group_name_Hall '-P 4 2 3'
_cell_length_a 6.0437
_cell_length_b 6.0437
_cell_length_c 6.0437
_cell_angle_alpha 90.00
_cell_angle_beta 90.00
_cell_angle_gamma 90.00
loop_
_atom_site_label
_atom_site_type_symbol
_atom_site_fract_x
_atom_site_fract_y
_atom_site_fract_z
Rb1 Rb 0.0000 0.0000 0.5000
Rh1 Rh 0.5000 0.5000 0.5000
F1 F 0.3043 0.3043 0.3043

Record 8
# Rb3RhF (PBE, optimized geometry)
# ΔE_f (raw)	-0.5803	eV/atom
# DFT total energy	-3.0054	eV per atom
# density of states at the Fermi level	1.10	states/eV/atom
# relative energy among the computed polymorphs	0	meV per atom
data_Rb3RhF
_chemical_formula_sum 'Rb3 Rh1 F1'
_space_group_name_H-M_alt 'P m -3 m'
_space_group_IT_number 221
_space_group_name_Hall '-P 4 2 3'
_cell_length_a 5.5617
_cell_length_b 5.5617
_cell_length_c 5.5617
_cell_angle_alpha 90.00
_cell_angle_beta 90.00
_cell_angle_gamma 90.00
loop_
_atom_site_label
_atom_site_type_symbol
_atom_site_fract_x
_atom_site_fract_y
_atom_site_fract_z
Rb1 Rb 0.0000 0.0000 0.5000
Rh1 Rh 0.5000 0.5000 0.5000
F1 F 0.0000 0.0000 0.0000

Record 9
# Rb2RuRhF6 (PBE, optimized geometry)
# ΔE_f (raw)	-1.7919	eV/atom
# DFT total energy	-4.7710	eV per atom
# density of states at the Fermi level	1.07	states/eV/atom
data_Rb2RuRhF6
_chemical_formula_sum 'Rb8 Ru4 Rh4 F24'
_space_group_name_H-M_alt 'F m -3 m'
_space_group_IT_number 225
_space_group_name_Hall '-F 4 2 3'
_cell_length_a 8.7188
_cell_length_b 8.7188
_cell_length_c 8.7188
_cell_angle_alpha 90.00
_cell_angle_beta 90.00
_cell_angle_gamma 90.00
loop_
_atom_site_label
_atom_site_type_symbol
_atom_site_fract_x
_atom_site_fract_y
_atom_site_fract_z
Rb1 Rb 0.2500 0.2500 0.2500
Ru1 Ru 0.0000 0.0000 0.0000
Rh1 Rh 0.0000 0.0000 0.5000
F1 F 0.0000 0.0000 0.2368

Record 10
# Rb2RhSF6 (PBE, optimized geometry)
# ΔE_f (raw)	-1.7185	eV/atom
# DFT total energy	-4.1827	eV per atom
# density of states at the Fermi level	0.09	states/eV/atom
data_Rb2RhSF6
_chemical_formula_sum 'Rb4 Rh2 S2 F12'
_space_group_name_H-M_alt 'I 4/m m m'
_space_group_IT_number 139
_space_group_name_Hall '-I 4 2'
_cell_length_a 5.8369
_cell_length_b 5.8369
_cell_length_c 10.4685
_cell_angle_alpha 90.00
_cell_angle_beta 90.00
_cell_angle_gamma 90.00
loop_
_atom_site_label
_atom_site_type_symbol
_atom_site_fract_x
_atom_site_fract_y
_atom_site_fract_z
Rb1 Rb 0.0000 0.5000 0.2500
Rh1 Rh 0.0000 0.0000 0.0000
S1 S 0.0000 0.0000 0.5000
F1 F 0.0000 0.0000 0.1934
F2 F 0.2379 0.2379 0.5000

Record 11
# Rb2ScRhF6 (PBE, optimized geometry)
# ΔE_f (raw)	-2.7288	eV/atom
# DFT total energy	-5.4134	eV per atom
# density of states at the Fermi level	0.00	states/eV/atom
data_Rb2ScRhF6
_chemical_formula_sum 'Rb8 Sc4 Rh4 F24'
_space_group_name_H-M_alt 'F m -3 m'
_space_group_IT_number 225
_space_group_name_Hall '-F 4 2 3'
_cell_length_a 8.8507
_cell_length_b 8.8507
_cell_length_c 8.8507
_cell_angle_alpha 90.00
_cell_angle_beta 90.00
_cell_angle_gamma 90.00
loop_
_atom_site_label
_atom_site_type_symbol
_atom_site_fract_x
_atom_site_fract_y
_atom_site_fract_z
Rb1 Rb 0.2500 0.2500 0.2500
Sc1 Sc 0.0000 0.0000 0.0000
Rh1 Rh 0.0000 0.0000 0.5000
F1 F 0.0000 0.0000 0.2300

Record 12
# Rb2SrRhF6 (PBE, optimized geometry)
# ΔE_f (raw)	-2.5773	eV/atom
# DFT total energy	-4.7969	eV per atom
# density of states at the Fermi level	0.00	states/eV/atom
data_Rb2SrRhF6
_chemical_formula_sum 'Rb4 Sr2 Rh2 F12'
_space_group_name_H-M_alt 'I 4/m m m'
_space_group_IT_number 139
_space_group_name_Hall '-I 4 2'
_cell_length_a 6.5296
_cell_length_b 6.5296
_cell_length_c 8.8409
_cell_angle_alpha 90.00
_cell_angle_beta 90.00
_cell_angle_gamma 90.00
loop_
_atom_site_label
_atom_site_type_symbol
_atom_site_fract_x
_atom_site_fract_y
_atom_site_fract_z
Rb1 Rb 0.0000 0.5000 0.2500
Sr1 Sr 0.0000 0.0000 0.0000
Rh1 Rh 0.0000 0.0000 0.5000
F1 F 0.0000 0.0000 0.2697
F2 F 0.2433 0.2433 0.5000

Record 13
# Rb2SrRh3F12 (PBE, optimized geometry)
# ΔE_f (raw)	-2.1811	eV/atom
# DFT total energy	-4.8548	eV per atom
# density of states at the Fermi level	0.28	states/eV/atom
data_Rb2SrRh3F12
_chemical_formula_sum 'Rb6 Sr3 Rh9 F36'
_space_group_name_H-M_alt 'R -3 m'
_space_group_IT_number 166
_space_group_name_Hall '-R 3 2"'
_cell_length_a 7.7132
_cell_length_b 7.7132
_cell_length_c 17.8187
_cell_angle_alpha 90.00
_cell_angle_beta 90.00
_cell_angle_gamma 120.00
loop_
_atom_site_label
_atom_site_type_symbol
_atom_site_fract_x
_atom_site_fract_y
_atom_site_fract_z
Rb1 Rb 0.0000 0.0000 0.1171
Sr1 Sr 0.0000 0.0000 0.5000
Rh1 Rh 0.0000 0.5000 0.0000
F1 F 0.0174 0.5087 0.8869
F2 F 0.0673 0.5336 0.3154

Record 14
# Rb2TeRhF6 (PBE, optimized geometry)
# ΔE_f (raw)	-1.8107	eV/atom
# DFT total energy	-4.1763	eV per atom
# density of states at the Fermi level	0.87	states/eV/atom
data_Rb2TeRhF6
_chemical_formula_sum 'Rb4 Te2 Rh2 F12'
_space_group_name_H-M_alt 'I 4/m m m'
_space_group_IT_number 139
_space_group_name_Hall '-I 4 2'
_cell_length_a 6.8245
_cell_length_b 6.8245
_cell_length_c 8.4818
_cell_angle_alpha 90.00
_cell_angle_beta 90.00
_cell_angle_gamma 90.00
loop_
_atom_site_label
_atom_site_type_symbol
_atom_site_fract_x
_atom_site_fract_y
_atom_site_fract_z
Rb1 Rb 0.0000 0.5000 0.2500
Te1 Te 0.0000 0.0000 0.0000
Rh1 Rh 0.0000 0.0000 0.5000
F1 F 0.0000 0.0000 0.2547
F2 F 0.2120 0.2120 0.5000

Record 15
# Rb2TiRhF6 (PBE, optimized geometry)
# ΔE_f (raw)	-2.4694	eV/atom
# DFT total energy	-5.3104	eV per atom
# density of states at the Fermi level	0.82	states/eV/atom
data_Rb2TiRhF6
_chemical_formula_sum 'Rb4 Ti2 Rh2 F12'
_space_group_name_H-M_alt 'I 4/m m m'
_space_group_IT_number 139
_space_group_name_Hall '-I 4 2'
_cell_length_a 6.2264
_cell_length_b 6.2264
_cell_length_c 8.7377
_cell_angle_alpha 90.00
_cell_angle_beta 90.00
_cell_angle_gamma 90.00
loop_
_atom_site_label
_atom_site_type_symbol
_atom_site_fract_x
_atom_site_fract_y
_atom_site_fract_z
Rb1 Rb 0.0000 0.5000 0.2500
Ti1 Ti 0.0000 0.0000 0.0000
Rh1 Rh 0.0000 0.0000 0.5000
F1 F 0.0000 0.0000 0.2305
F2 F 0.2240 0.2240 0.0000

Record 16
# Rb2TlRhF6 (PBE, optimized geometry)
# ΔE_f (raw)	-2.1506	eV/atom
# DFT total energy	-4.4387	eV per atom
# density of states at the Fermi level	0.00	states/eV/atom
data_Rb2TlRhF6
_chemical_formula_sum 'Rb8 Tl4 Rh4 F24'
_space_group_name_H-M_alt 'F m -3 m'
_space_group_IT_number 225
_space_group_name_Hall '-F 4 2 3'
_cell_length_a 9.2450
_cell_length_b 9.2450
_cell_length_c 9.2450
_cell_angle_alpha 90.00
_cell_angle_beta 90.00
_cell_angle_gamma 90.00
loop_
_atom_site_label
_atom_site_type_symbol
_atom_site_fract_x
_atom_site_fract_y
_atom_site_fract_z
Rb1 Rb 0.2500 0.2500 0.2500
Tl1 Tl 0.0000 0.0000 0.0000
Rh1 Rh 0.0000 0.0000 0.5000
F1 F 0.0000 0.0000 0.2813

Record 17
# RbTlRhF6 (PBE, optimized geometry)
# ΔE_f (raw)	-1.9624	eV/atom
# DFT total energy	-4.3972	eV per atom
# density of states at the Fermi level	0.75	states/eV/atom
data_RbTlRhF6
_chemical_formula_sum 'Rb1 Tl1 Rh1 F6'
_space_group_name_H-M_alt 'P 1'
_space_group_IT_number 1
_space_group_name_Hall 'P 1'
_cell_length_a 5.3660
_cell_length_b 6.3254
_cell_length_c 6.3341
_cell_angle_alpha 60.05
_cell_angle_beta 89.97
_cell_angle_gamma 89.94
loop_
_atom_site_label
_atom_site_type_symbol
_atom_site_fract_x
_atom_site_fract_y
_atom_site_fract_z
Rb1 Rb 0.0000 0.0000 0.0000
Tl1 Tl 0.4991 0.3335 0.3330
Rh1 Rh 0.5019 0.6666 0.6668
F1 F 0.2972 0.4072 0.9237
F2 F 0.2973 0.6697 0.4070
F3 F 0.2981 0.9245 0.6696
F4 F 0.7056 0.4076 0.6661
F5 F 0.7064 0.9252 0.4086
F6 F 0.7066 0.6656 0.9256